# 1
## Tb2Re2N5 (PBE)

Data for an optimized crystal structure of Tb2Re2N5.

Properties
Symmetry   C2/m
Mass density   10.348 g cm⁻³
Total DFT energy (no corrections)   -9.016 eV per atom
Fermi-level density of states   0.40 states/eV per atom
Uncorrected formation energy   -0.595 eV/atom

extended XYZ file:
```
9
Lattice="5.7339 -1.8920 0.0000 5.7339 1.8920 0.0000 -1.9224 0.0000 5.6232" Properties=species:S:1:pos:R:3 pbc="T T T"
Tb 0.7767 0.0000 1.6947
Tb 8.7688 0.0000 3.9285
Re 3.9070 0.0000 0.8485
Re 5.6384 0.0000 4.7748
N 0.2075 0.0000 5.3901
N 3.0740 0.0000 2.5244
N 5.7339 0.0000 0.0000
N 6.4714 0.0000 3.0989
N 9.3379 0.0000 0.2331
```



# 2
## Er3MgNi (PBE)

Data for an optimized crystal structure of Er3MgNi.

Properties
Symmetry   P2_1/m
Mass density   7.589 g cm⁻³
Total DFT energy (no corrections)   -4.386 eV per atom
Energy of formation from the pure elements   -0.173 eV/atom
Fermi-level density of states   1.09 states/eV per atom

extended XYZ file:
```
10
Lattice="8.4230 0.0000 0.0000 0.0000 3.7256 0.0000 -3.8266 0.0000 8.1547" Properties=species:S:1:pos:R:3 pbc="T T T"
Er -0.5497 0.9314 1.3968
Er -0.2146 2.7942 4.4413
Er 2.2485 2.7942 1.8057
Er 2.3479 0.9314 6.3489
Er 4.8111 0.9314 3.7134
Er 5.1462 2.7942 6.7579
Mg -0.6930 0.9314 7.3470
Mg 5.2894 2.7942 0.8077
Ni 1.5849 0.9314 3.5939
Ni 3.0116 2.7942 4.5607
```



# 3
## La4PrTm10 (PBE)

Data for an optimized crystal structure of La4PrTm10.

Properties
Symmetry   I4/m
Mass density   7.859 g cm⁻³
Total DFT energy (no corrections)   -4.260 eV per atom
Energy of formation from the pure elements   0.354 eV/atom
Fermi-level density of states   1.54 states/eV per atom

extended XYZ file:
```
15
Lattice="-4.8415 4.8415 5.3766 4.8415 -4.8415 5.3766 4.8415 4.8415 -5.3766" Properties=species:S:1:pos:R:3 pbc="T T T"
La 6.4243 0.6461 0.0000
La 0.6461 3.2586 0.0000
La 4.1953 1.5829 5.3766
La -1.5829 4.1953 5.3766
Pr 0.0000 0.0000 0.0000
Tm 3.7260 2.8178 -1.7030
Tm 2.0237 -1.1155 3.6736
Tm 4.8415 0.0000 2.6883
Tm 3.7260 2.8178 1.7030
Tm 2.8178 5.9570 -1.7030
Tm 2.0237 -1.1155 7.0795
Tm 1.1155 2.0237 3.6736
Tm 0.0000 4.8415 2.6883
Tm 2.8178 5.9570 1.7030
Tm 1.1155 2.0237 7.0795
```



# 4
## Hf2BeN (PBE)

Data for an optimized crystal structure of Hf2BeN.

Properties
Symmetry   R-3m
Mass density   11.211 g cm⁻³
Total DFT energy (no corrections)   -8.831 eV per atom
Fermi-level density of states   0.57 states/eV per atom
Uncorrected formation energy   -0.841 eV/atom

extended XYZ file:
```
12
Lattice="3.2182 0.0000 0.0000 -1.6091 2.7870 0.0000 0.0000 0.0000 18.8260" Properties=species:S:1:pos:R:3 pbc="T T T"
Hf 0.0000 0.0000 4.4415
Hf 0.0000 0.0000 14.3845
Hf 0.0000 1.8580 8.1091
Hf 0.0000 1.8580 16.9922
Hf 1.6091 0.9290 1.8338
Hf 1.6091 0.9290 10.7168
Be 0.0000 0.0000 0.0000
Be 0.0000 1.8580 12.5507
Be 1.6091 0.9290 6.2753
N 0.0000 0.0000 9.4130
N 0.0000 1.8580 3.1377
N 1.6091 0.9290 15.6883
```



# 5
## Y2ZnGePd6 (PBE)

Data for an optimized crystal structure of Y2ZnGePd6.

Properties
Symmetry   P-1
Mass density   8.572 g cm⁻³
Total DFT energy (no corrections)   -5.654 eV per atom
Energy of formation from the pure elements   -0.656 eV/atom
Fermi-level density of states   0.46 states/eV per atom

extended XYZ file:
```
10
Lattice="5.4635 0.0000 0.0000 2.7273 5.7925 0.0000 2.7110 -0.6401 5.8418" Properties=species:S:1:pos:R:3 pbc="T T T"
Y 2.7302 1.3148 1.4773
Y 8.1716 3.8376 4.3645
Zn 5.4509 2.5762 2.9209
Ge 0.0000 0.0000 0.0000
Pd 4.0960 4.5111 1.7732
Pd 5.4412 2.7327 5.3945
Pd 4.0784 0.6488 4.0742
Pd 6.8234 4.5036 1.7676
Pd 5.4605 2.4197 0.4474
Pd 6.8058 0.6413 4.0687
```



# 6
## BaOF5 (PBE)

Data for an optimized crystal structure of BaOF5.

Properties
Symmetry   C2/c
Mass density   4.042 g cm⁻³
Total DFT energy (no corrections)   -3.805 eV per atom
Fermi-level density of states   0.60 states/eV per atom
Uncorrected formation energy   -1.486 eV/atom

extended XYZ file:
```
14
Lattice="3.7202 -5.0651 0.0000 3.7202 5.0651 0.0000 -0.0209 0.0000 5.4137" Properties=species:S:1:pos:R:3 pbc="T T T"
Ba 3.7045 3.4057 4.0603
Ba 3.7149 -3.4057 1.3534
O 3.7202 0.0000 0.0000
O 3.7097 0.0000 2.7069
F 3.7149 4.0962 1.3534
F 2.4702 1.2183 5.4044
F 2.4998 1.2374 2.6897
F 2.4806 -1.2183 2.6975
F 2.4893 -1.2374 5.3966
F 4.9301 1.2374 0.0172
F 4.9388 1.2183 2.7162
F 4.9196 -1.2374 2.7240
F 4.9493 -1.2183 0.0094
F 3.7045 -4.0962 4.0603
```



# 7
## Ce2Fe17C3 (PBE)

Data for an optimized crystal structure of Ce2Fe17C3.

Properties
Symmetry   R-3m
Mass density   7.720 g cm⁻³
Total DFT energy (no corrections)   -8.389 eV per atom
Energy of formation from the pure elements   -0.052 eV/atom
Fermi-level density of states   1.03 states/eV per atom

extended XYZ file:
```
22
Lattice="4.3476 2.5101 4.1577 -4.3476 2.5101 4.1577 0.0000 -5.0201 4.1577" Properties=species:S:1:pos:R:3 pbc="T T T"
Ce 0.0000 0.0000 1.9381
Ce 0.0000 0.0000 10.5350
Fe -2.1738 -1.2550 4.1577
Fe 0.0000 -2.4361 3.9868
Fe -2.1097 1.2181 3.9868
Fe -1.2320 -2.1340 6.2366
Fe -2.4641 0.0000 6.2366
Fe -2.1097 -1.2180 8.4864
Fe 0.0000 0.0000 5.0470
Fe -2.1738 1.2550 8.3154
Fe 1.2320 -2.1340 6.2366
Fe 0.0000 2.5101 4.1577
Fe -1.2320 2.1340 6.2366
Fe 0.0000 0.0000 7.4261
Fe 2.1097 1.2181 3.9867
Fe 2.4641 0.0000 6.2366
Fe 1.2320 2.1340 6.2366
Fe 2.1097 -1.2181 8.4864
Fe 0.0000 2.4361 8.4864
C -4.3475 0.0000 6.2366
C -2.1738 1.2550 2.0788
C 2.1738 1.2550 2.0789
```



# 8
## NdIrPb2O6 (PBE)

Data for an optimized crystal structure of NdIrPb2O6.

Properties
Symmetry   P2_1/c
Mass density   9.441 g cm⁻³
Total DFT energy (no corrections)   -6.584 eV per atom
Fermi-level density of states   0.64 states/eV per atom
Uncorrected formation energy   -1.504 eV/atom

extended XYZ file:
```
20
Lattice="5.9701 0.0000 0.0000 0.0000 5.9343 0.0000 -5.9579 0.0000 8.4084" Properties=species:S:1:pos:R:3 pbc="T T T"
Nd 0.0000 0.0000 0.0000
Nd -2.9789 2.9671 4.2042
Ir 0.0061 0.0000 4.2042
Ir 2.9851 2.9671 0.0000
Pb -2.9277 0.1936 6.3663
Pb 0.0512 2.7735 2.1621
Pb -0.0389 3.1607 6.2462
Pb 2.9400 5.7407 2.0420
O -0.5463 0.1092 2.2927
O -3.5252 2.8580 6.4969
O 1.4070 4.0956 0.4523
O -1.5719 4.8058 4.6564
O 1.9363 1.3112 0.3554
O -1.0426 1.6560 4.5596
O 1.0549 4.2783 3.8487
O -1.9240 4.6231 8.0529
O 1.5842 1.1284 3.7519
O -1.3947 1.8387 7.9561
O 3.5374 3.0763 1.9115
O 0.5585 5.8251 6.1157
```



# 9
## MgGaCuHg (PBE)

Data for an optimized crystal structure of MgGaCuHg.

Properties
Symmetry   F-43m
Mass density   8.251 g cm⁻³
Total DFT energy (no corrections)   -2.233 eV per atom
Energy of formation from the pure elements   0.022 eV/atom
Fermi-level density of states   0.56 states/eV per atom

extended XYZ file:
```
16
Lattice="6.6062 0.0000 0.0000 0.0000 6.6062 0.0000 0.0000 0.0000 6.6062" Properties=species:S:1:pos:R:3 pbc="T T T"
Mg 0.0000 0.0000 0.0000
Mg 0.0000 3.3031 3.3031
Mg 3.3031 0.0000 3.3031
Mg 3.3031 3.3031 0.0000
Ga 1.6516 1.6516 1.6516
Ga 1.6516 4.9547 4.9547
Ga 4.9547 1.6516 4.9547
Ga 4.9547 4.9547 1.6516
Cu 0.0000 0.0000 3.3031
Cu 0.0000 3.3031 0.0000
Cu 3.3031 0.0000 0.0000
Cu 3.3031 3.3031 3.3031
Hg 1.6516 1.6516 4.9547
Hg 1.6516 4.9547 1.6516
Hg 4.9547 1.6516 1.6516
Hg 4.9547 4.9547 4.9547
```



# 10
## CeScSi (PBE)

Data for an optimized crystal structure of CeScSi.

Properties
Symmetry   P3m1
Mass density   4.873 g cm⁻³
Total DFT energy (no corrections)   -6.231 eV per atom
Fermi-level density of states   2.59 states/eV per atom
Uncorrected formation energy   -0.335 eV/atom

extended XYZ file:
```
3
Lattice="4.5851 0.0000 0.0000 -2.2926 3.9708 0.0000 0.0000 0.0000 3.9897" Properties=species:S:1:pos:R:3 pbc="T T T"
Ce 0.0000 0.0000 0.0000
Sc 2.2926 1.3236 1.9972
Si 0.0000 2.6472 1.9864
```



# 11
## MgRh2Se (PBE)

Data for an optimized crystal structure of MgRh2Se.

Properties
Symmetry   R-3m
Mass density   7.976 g cm⁻³
Total DFT energy (no corrections)   -5.098 eV per atom
Fermi-level density of states   0.95 states/eV per atom
Uncorrected formation energy   -0.152 eV/atom

extended XYZ file:
```
12
Lattice="3.0251 0.0000 0.0000 -1.5125 2.6198 0.0000 0.0000 0.0000 24.3571" Properties=species:S:1:pos:R:3 pbc="T T T"
Mg 0.0000 0.0000 0.0000
Mg 0.0000 1.7465 16.2381
Mg 1.5125 0.8733 8.1190
Rh 0.0000 0.0000 5.9526
Rh 0.0000 0.0000 18.4045
Rh 0.0000 1.7465 10.2855
Rh 0.0000 1.7465 22.1906
Rh 1.5125 0.8733 2.1665
Rh 1.5125 0.8733 14.0716
Se 0.0000 0.0000 12.1785
Se 0.0000 1.7465 4.0595
Se 1.5125 0.8733 20.2976
```